[1]
First-principles (PBE) data for crystalline ErLuFeSi2 at its relaxed geometry, as listed in OQMD via LeMat-Bulk.

Lattice parameters (Å, degrees): 5.540 5.540 9.799 116.88 116.88 43.46
Sites, in units of the cell vectors:
Er1 0.002 0.002 0.173
Er2 0.998 0.998 0.827
Lu1 0.187 0.187 0.608
Lu2 0.813 0.813 0.392
Fe1 0.271 0.271 0.126
Fe2 0.729 0.729 0.874
Si1 0.348 0.348 0.936
Si2 0.498 0.498 0.625
Si3 0.502 0.502 0.375
Si4 0.652 0.652 0.064

Computed properties:
As for the total moment: 0.11 μB per formula unit. As for the calculated total energy: -0.468 Ry per atom. The crystal system is monoclinic.


[2]
First-principles (PBE) data for crystalline NbSe4 at its relaxed geometry, as listed in OQMD via LeMat-Bulk.

Lattice parameters (Å, degrees): 5.152 5.152 5.152 111.27 111.27 105.93
Sites, in units of the cell vectors:
Nb1 0.000 0.000 0.000
Se1 0.173 0.173 0.606
Se2 0.432 0.827 0.000
Se3 0.568 0.568 0.394
Se4 0.827 0.432 0.000

Computed properties:
As for the total moment: 0.00 μB per formula unit. As for the calculated total energy: -0.364 Ry per atom. The crystal system is tetragonal.